! BaIrIN2, optimized geometry, DFT PBE; values from VASP
! calculated volume = 29.01 Å³ per atom
! formation energy from raw total energies = 2234 meV per atom
! ρ = 5.55 g cm⁻³
! space group = P4/mmm
! VASP energy = -17.814 eV/cell
&SYSTEM
  ibrav = 0, nat = 5, ntyp = 4
/
ATOMIC_SPECIES
Ba 137.33 Ba.upf
Ir 192.22 Ir.upf
I 126.90 I.upf
N 14.01 N.upf
CELL_PARAMETERS angstrom
4.490 0.000 0.000
0.000 4.490 0.000
0.000 0.000 7.194
ATOMIC_POSITIONS crystal
Ba 0.000 0.000 0.000
Ir 0.500 0.500 0.500
I 0.000 0.000 0.500
N 0.000 0.500 0.000
N 0.500 0.000 0.000

! KCd3Pb, optimized geometry, DFT PBE; values from VASP
! formation enthalpy at 0 K = -0.06 eV/atom
! calculated volume = 31.50 Å³ per atom
! ρ = 6.15 g cm⁻³
! space group = Pm
! VASP energy = -15.741 eV/cell
&SYSTEM
  ibrav = 0, nat = 10, ntyp = 3
/
ATOMIC_SPECIES
K 39.10 K.upf
Cd 112.41 Cd.upf
Pb 207.20 Pb.upf
CELL_PARAMETERS angstrom
6.835 0.000 0.000
0.000 7.153 0.000
-2.910 0.000 6.444
ATOMIC_POSITIONS crystal
K 0.000 0.000 0.000
K 0.500 0.500 0.499
Cd 0.008 0.228 0.502
Cd 0.008 0.772 0.502
Cd 0.407 0.000 0.664
Cd 0.507 0.272 0.001
Cd 0.507 0.728 0.001
Cd 0.906 0.500 0.165
Pb 0.094 0.500 0.857
Pb 0.595 0.000 0.356

! CaErTmIn, optimized geometry, DFT PBE; values from VASP
! formation enthalpy at 0 K = -0.10 eV/atom
! calculated volume = 28.59 Å³ per atom
! ρ = 7.13 g cm⁻³
! space group = F-43m
! VASP energy = -14.183 eV/cell
&SYSTEM
  ibrav = 0, nat = 4, ntyp = 4
/
ATOMIC_SPECIES
Ca 40.08 Ca.upf
Er 167.26 Er.upf
Tm 168.93 Tm.upf
In 114.82 In.upf
CELL_PARAMETERS angstrom
0.000 3.853 3.853
3.853 0.000 3.853
3.853 3.853 0.000
ATOMIC_POSITIONS crystal
Ca 0.000 0.000 0.000
Er 0.250 0.250 0.250
Tm 0.750 0.750 0.750
In 0.500 0.500 0.500

! LiFeCu2, optimized geometry, DFT PBE; values from VASP
! formation enthalpy at 0 K = 0.08 eV/atom
! calculated volume = 12.38 Å³ per atom
! ρ = 6.37 g cm⁻³
! space group = P4/mmm
! VASP energy = -18.251 eV/cell
&SYSTEM
  ibrav = 0, nat = 4, ntyp = 3
/
ATOMIC_SPECIES
Li 6.94 Li.upf
Fe 55.84 Fe.upf
Cu 63.55 Cu.upf
CELL_PARAMETERS angstrom
2.537 0.000 0.000
0.000 2.537 0.000
0.000 0.000 7.694
ATOMIC_POSITIONS crystal
Li 0.000 0.000 0.000
Fe 0.000 0.000 0.500
Cu 0.500 0.500 0.260
Cu 0.500 0.500 0.740